The following is a DFT calculation (PBE+U) of a relaxed structure of ZrCoF3.

Summary:
The energy above the most stable polymorph in this dataset comes out at 0 meV/atom. Its total energy is -5.697 eV/atom. Its symmetry is Pm-3m (221).

a b c (Å): 4.3070 4.3070 4.3070
angles (deg): 90.00 90.00 90.00
Closest atoms and distances in Å follow each position.
Atoms (fractional coordinates):
Zr  0.0000  0.0000  0.0000  6 F 2.15
Co  0.5000  0.5000  0.5000  12 F 3.05
F  0.0000  0.0000  0.5000  2 Zr 2.15
F  0.0000  0.5000  0.0000  2 Zr 2.15
F  0.5000  0.0000  0.0000  2 Zr 2.15